--- P ---
A geometry-optimized NaCdF2 structure, computed with GGA-PBE.

The structure in extended XYZ format:
```
8
Lattice="5.5241 0.0000 0.0000 0.0000 5.5241 0.0000 2.7621 2.7621 4.9784" Properties=species:S:1:pos:R:3 pbc="T T T"
Na 2.7621 2.7621 0.0000
Na 2.7621 5.5241 2.4892
F 4.1431 4.2639 3.7338
F 1.5019 4.1431 1.2446
F 6.9052 6.7843 3.7338
F 4.0223 1.3810 1.2446
Cd 5.5241 2.7621 2.4892
Cd 0.0000 0.0000 0.0000
```

Computed properties:
For the density of states at the Fermi level, the calculation gives 0.31 states/eV per cell. The value obtained for the theoretical density is 3.8 Mg/m³.

***

--- Q ---
A geometry-optimized NaCdF2 structure, computed with GGA-PBE.

The structure in extended XYZ format:
```
4
Lattice="2.9413 0.0000 0.0000 0.0000 2.9413 0.0000 0.0000 0.0000 6.4355" Properties=species:S:1:pos:R:3 pbc="T T T"
Cd 1.4707 1.4707 0.0000
Na 1.4707 1.4707 3.2178
F 0.0000 0.0000 1.8275
F 0.0000 0.0000 4.6080
```

Computed properties:
For the density of states at the Fermi level, the calculation gives 1.02 states/eV per cell. The value obtained for the theoretical density is 5.2 Mg/m³.

***

Most stable pick: P. Distance to second place: 75 meV per atom.